(1)
DFT (PBE) results for Mg2FeW after structural relaxation.

Geometry as POSCAR:
```
Mg2FeW
1.0
7.248 0.000 0.000
0.000 7.248 0.000
0.000 0.000 5.164
Mg Fe W
8 4 4
direct
0.221 0.750 0.125 Mg
0.250 0.221 0.875 Mg
0.250 0.279 0.375 Mg
0.279 0.750 0.625 Mg
0.721 0.250 0.625 Mg
0.750 0.721 0.375 Mg
0.750 0.779 0.875 Mg
0.779 0.250 0.125 Mg
0.000 0.000 0.000 Fe
0.000 0.500 0.250 Fe
0.500 0.000 0.750 Fe
0.500 0.500 0.500 Fe
0.000 0.000 0.500 W
0.000 0.500 0.750 W
0.500 0.000 0.250 W
0.500 0.500 0.000 W
```

Summary:
VASP energy, eV per cell: -82.320
Volume, Å³ per atom: 16.96


(2)
DFT (PBE) results for Tb3Ho2Tm7 after structural relaxation.

Geometry as POSCAR:
```
Tb3Ho2Tm7
1.0
6.235 0.000 0.000
0.000 3.474 0.000
-1.878 0.000 17.098
Tb Ho Tm
3 2 7
direct
0.000 0.000 0.000 Tb
0.051 0.500 0.657 Tb
0.949 0.500 0.343 Tb
0.440 0.000 0.326 Ho
0.560 0.000 0.674 Ho
0.226 0.500 0.165 Tm
0.246 0.000 0.501 Tm
0.276 0.000 0.833 Tm
0.500 0.500 0.000 Tm
0.724 0.000 0.167 Tm
0.754 0.000 0.499 Tm
0.774 0.500 0.835 Tm
```

Summary:
VASP energy, eV per cell: -53.316
Volume, Å³ per atom: 30.86


(3)
DFT (PBE) results for Dy3YS3 after structural relaxation.

Geometry as POSCAR:
```
Dy3YS3
1.0
10.969 0.000 0.000
0.000 10.969 0.000
0.000 0.000 5.462
Dy Y S
12 4 12
direct
0.120 0.373 0.000 Dy
0.127 0.127 0.500 Dy
0.127 0.620 0.500 Dy
0.373 0.120 0.000 Dy
0.373 0.627 0.000 Dy
0.380 0.873 0.500 Dy
0.620 0.127 0.500 Dy
0.627 0.373 0.000 Dy
0.627 0.880 0.000 Dy
0.873 0.380 0.500 Dy
0.873 0.873 0.500 Dy
0.880 0.627 0.000 Dy
0.122 0.878 0.000 Y
0.378 0.378 0.500 Y
0.622 0.622 0.500 Y
0.878 0.122 0.000 Y
0.125 0.125 0.000 S
0.126 0.374 0.500 S
0.126 0.626 0.000 S
0.374 0.126 0.500 S
0.374 0.874 0.000 S
0.375 0.625 0.500 S
0.625 0.375 0.500 S
0.626 0.126 0.000 S
0.626 0.874 0.500 S
0.874 0.374 0.000 S
0.874 0.626 0.500 S
0.875 0.875 0.000 S
```

Summary:
Formation energy (no corrections), eV per atom: -1.701
Volume, Å³ per atom: 23.47


(4)
DFT (PBE) results for VOs2I after structural relaxation.

Geometry as POSCAR:
```
VOs2I
1.0
6.407 0.000 0.000
0.000 6.407 0.000
0.000 0.000 6.407
V Os I
4 8 4
direct
0.000 0.000 0.000 V
0.000 0.500 0.500 V
0.500 0.000 0.500 V
0.500 0.500 0.000 V
0.250 0.250 0.250 Os
0.250 0.250 0.750 Os
0.250 0.750 0.250 Os
0.250 0.750 0.750 Os
0.750 0.250 0.250 Os
0.750 0.250 0.750 Os
0.750 0.750 0.250 Os
0.750 0.750 0.750 Os
0.000 0.000 0.500 I
0.000 0.500 0.000 I
0.500 0.000 0.000 I
0.500 0.500 0.500 I
```

Summary:
Formation energy (no corrections), eV per atom: 1.178
Volume, Å³ per atom: 16.44


(5)
DFT (PBE) results for Tl2CdCu2Pd5 after structural relaxation.

Geometry as POSCAR:
```
Tl2CdCu2Pd5
1.0
9.328 0.000 0.000
0.000 9.328 0.000
0.000 0.000 3.995
Tl Cd Cu Pd
4 2 4 10
direct
0.170 0.330 0.000 Tl
0.330 0.830 0.000 Tl
0.670 0.170 0.000 Tl
0.830 0.670 0.000 Tl
0.000 0.000 0.000 Cd
0.500 0.500 0.000 Cd
0.125 0.625 0.000 Cu
0.375 0.125 0.000 Cu
0.625 0.875 0.000 Cu
0.875 0.375 0.000 Cu
0.000 0.500 0.500 Pd
0.086 0.803 0.500 Pd
0.197 0.086 0.500 Pd
0.303 0.586 0.500 Pd
0.414 0.303 0.500 Pd
0.500 0.000 0.500 Pd
0.586 0.697 0.500 Pd
0.697 0.414 0.500 Pd
0.803 0.914 0.500 Pd
0.914 0.197 0.500 Pd
```

Summary:
VASP energy, eV per cell: -82.184
Volume, Å³ per atom: 17.38


(6)
DFT (PBE) results for KNbPd2 after structural relaxation.

Geometry as POSCAR:
```
KNbPd2
1.0
6.791 0.000 0.000
0.000 6.791 0.000
0.000 0.000 6.791
K Nb Pd
4 4 8
direct
0.000 0.000 0.000 K
0.000 0.500 0.500 K
0.500 0.000 0.500 K
0.500 0.500 0.000 K
0.000 0.000 0.500 Nb
0.000 0.500 0.000 Nb
0.500 0.000 0.000 Nb
0.500 0.500 0.500 Nb
0.250 0.250 0.250 Pd
0.250 0.250 0.750 Pd
0.250 0.750 0.250 Pd
0.250 0.750 0.750 Pd
0.750 0.250 0.250 Pd
0.750 0.250 0.750 Pd
0.750 0.750 0.250 Pd
0.750 0.750 0.750 Pd
```

Summary:
VASP energy, eV per cell: -77.166
Volume, Å³ per atom: 19.58


(7)
DFT (PBE) results for La3Sm3Er after structural relaxation.

Geometry as POSCAR:
```
La3Sm3Er
1.0
4.428 2.557 7.318
-4.428 2.557 7.318
0.000 -5.113 7.318
La Sm Er
6 6 2
direct
0.060 0.301 0.810 La
0.190 0.940 0.699 La
0.301 0.810 0.060 La
0.699 0.190 0.940 La
0.810 0.060 0.301 La
0.940 0.699 0.190 La
0.065 0.725 0.568 Sm
0.275 0.432 0.935 Sm
0.432 0.935 0.275 Sm
0.568 0.065 0.725 Sm
0.725 0.568 0.065 Sm
0.935 0.275 0.432 Sm
0.349 0.349 0.349 Er
0.651 0.651 0.651 Er
```

Summary:
VASP energy, eV per cell: -63.750
Volume, Å³ per atom: 35.51


(8)
DFT (PBE) results for AsPW2 after structural relaxation.

Geometry as POSCAR:
```
AsPW2
1.0
3.054 0.000 0.000
0.000 4.595 0.000
-0.006 0.000 4.359
As P W
1 1 2
direct
0.000 0.000 0.000 As
0.501 0.500 0.744 P
0.000 0.500 0.268 W
0.500 0.000 0.499 W
```

Summary:
VASP energy, eV per cell: -35.684
Volume, Å³ per atom: 15.29